1.
This record from Alexandria via LeMat-Bulk describes SrMgSc2 after structural relaxation. The functional is PBE.

Cell and atoms, written as POSCAR:
```
SrMgSc2
1.0
-2.445 2.445 4.932
2.445 -2.445 4.932
2.445 2.445 -4.932
Sr Mg Sc
1 1 2
direct
0.000 0.000 0.000
0.500 0.500 0.000
0.250 0.750 0.500
0.750 0.250 0.500
```

E_tot in eV/atom: -3.687
DOS at the Fermi energy in states/eV/f.u.: 7.034
DFT formation energy in eV per formula unit: 1.190
Symmetry: No. 139

***

2.
This record from Alexandria via LeMat-Bulk describes SrMgSc2 after structural relaxation. The functional is PBE.

Cell and atoms, written as POSCAR:
```
SrMgSc2
1.0
1.738 1.003 11.155
-1.738 1.003 11.155
0.000 -2.006 11.155
Sr Mg Sc
1 1 2
direct
0.000 0.000 0.000
0.500 0.500 0.500
0.240 0.240 0.240
0.760 0.760 0.760
```

E_tot in eV/atom: -3.721
DOS at the Fermi energy in states/eV/f.u.: 6.224
DFT formation energy in eV per formula unit: 1.054
Symmetry: No. 166

***

3.
This record from Alexandria via LeMat-Bulk describes SrMgSc2 after structural relaxation. The functional is PBE.

Cell and atoms, written as POSCAR:
```
SrMgSc2
1.0
0.000 3.870 3.870
3.870 0.000 3.870
3.870 3.870 0.000
Sr Mg Sc
1 1 2
direct
0.000 0.000 0.000
0.750 0.750 0.750
0.250 0.250 0.250
0.500 0.500 0.500
```

E_tot in eV/atom: -3.743
DOS at the Fermi energy in states/eV/f.u.: 4.274
DFT formation energy in eV per formula unit: 0.969
Symmetry: No. 216

***

4.
This record from Alexandria via LeMat-Bulk describes SrMgSc2 after structural relaxation. The functional is PBE.

Cell and atoms, written as POSCAR:
```
SrMgSc2
1.0
3.649 0.000 0.000
0.000 3.649 0.000
0.000 0.000 8.935
Sr Mg Sc
1 1 2
direct
0.000 0.000 0.000
0.000 0.000 0.500
0.500 0.500 0.314
0.500 0.500 0.686
```

E_tot in eV/atom: -3.816
DOS at the Fermi energy in states/eV/f.u.: 5.565
DFT formation energy in eV per formula unit: 0.675
Symmetry: No. 123

***

5.
This record from Alexandria via LeMat-Bulk describes SrMgSc3 after structural relaxation. The functional is PBE.

Cell and atoms, written as POSCAR:
```
SrMgSc3
1.0
5.347 0.000 0.000
0.000 5.347 0.000
0.000 0.000 5.347
Sr Mg Sc
1 1 3
direct
0.000 0.000 0.000
0.500 0.500 0.500
0.000 0.000 0.500
0.000 0.500 0.000
0.500 0.000 0.000
```

E_tot in eV/atom: -3.230
DOS at the Fermi energy in states/eV/f.u.: 4.739
DFT formation energy in eV per formula unit: 6.121
Symmetry: No. 221

***

6.
This record from Alexandria via LeMat-Bulk describes SrMg9Sc2 after structural relaxation. The functional is PBE.

Cell and atoms, written as POSCAR:
```
SrMg9Sc2
1.0
3.009 1.737 9.777
-3.009 1.737 9.777
0.000 -3.474 9.777
Sr Mg Sc
1 9 2
direct
0.000 0.000 0.000
0.081 0.591 0.591
0.334 0.334 0.334
0.409 0.409 0.919
0.409 0.919 0.409
0.500 0.500 0.500
0.591 0.081 0.591
0.591 0.591 0.081
0.666 0.666 0.666
0.919 0.409 0.409
0.150 0.150 0.150
0.850 0.850 0.850
```

E_tot in eV/atom: -2.395
DOS at the Fermi energy in states/eV/f.u.: 10.885
DFT formation energy in eV per formula unit: -0.048
Symmetry: No. 166